Crystalline H2F5 at its relaxed geometry, computed with PBE.

Total moment in μB per cell: 1.82
Total energy in Ha/atom: -0.1142

abc: 3.490 6.515 8.464
angles: 98.82 99.21 101.45
Space group P-1 (No. 2)
Unique sites:
H 0.189 0.485 0.342 (multiplicity 2)
H 0.196 0.511 0.842 (multiplicity 2)
F 0.038 0.587 0.266 (multiplicity 2)
F 0.136 0.933 0.842 (multiplicity 2)
F 0.347 0.378 0.417 (multiplicity 2)
F 0.353 0.035 0.735 (multiplicity 2)
F 0.440 0.619 0.951 (multiplicity 2)

Crystalline TaHg3I at its relaxed geometry, computed with PBE.

Total moment in μB per cell: 0.94
DOS at the Fermi energy in states/eV/atom: 1.159
Total energy in Ha/atom: -0.0792

abc: 5.526 5.526 5.526
angles: 90.00 90.00 90.00
Space group Pm-3m (No. 221)
Unique sites:
Ta 0.000 0.000 0.000 (multiplicity 1)
Hg 0.000 0.000 0.500 (multiplicity 3)
I 0.500 0.500 0.500 (multiplicity 1)

Crystalline BaMg2Zr at its relaxed geometry, computed with PBE.

Total moment in μB per cell: 0.00
DOS at the Fermi energy in states/eV/atom: 1.339
Total energy in Ha/atom: -0.1132
Formation enthalpy at 0 K in eV per atom: 0.33

abc: 7.772 7.772 7.772
angles: 90.00 90.00 90.00
Space group Fm-3m (No. 225)
Unique sites:
Ba 0.000 0.000 0.000 (multiplicity 4)
Mg 0.250 0.250 0.250 (multiplicity 8)
Zr 0.000 0.000 0.500 (multiplicity 4)

Crystalline Ce3Tm2In4 at its relaxed geometry, computed with PBE.

Total moment in μB per cell: 5.55
DOS at the Fermi energy in states/eV/atom: 2.142
Total energy in Ha/atom: -0.1659
Formation enthalpy at 0 K in eV per atom: -0.32

abc: 9.194 5.325 10.083
angles: 90.00 91.42 90.00
Space group C2/m (No. 12)
Unique sites:
Ce 0.000 0.000 0.000 (multiplicity 2)
Ce 0.137 0.500 0.562 (multiplicity 4)
Tm 0.176 0.500 0.222 (multiplicity 4)
In 0.022 0.000 0.340 (multiplicity 4)
In 0.162 0.500 0.892 (multiplicity 4)

Crystalline KMg3Ir at its relaxed geometry, computed with PBE.

Total moment in μB per cell: 0.00
DOS at the Fermi energy in states/eV/atom: 0.346
Total energy in Ha/atom: -0.1124
Formation enthalpy at 0 K in eV per atom: -0.11

abc: 5.139 5.139 5.139
angles: 90.00 90.00 90.00
Space group Pm-3m (No. 221)
Unique sites:
K 0.000 0.000 0.000 (multiplicity 1)
Mg 0.000 0.500 0.500 (multiplicity 3)
Ir 0.500 0.500 0.500 (multiplicity 1)

Crystalline YZrPa at its relaxed geometry, computed with PBE.

Total moment in μB per cell: 0.00
DOS at the Fermi energy in states/eV/atom: 2.004
Total energy in Ha/atom: -0.2939
Formation enthalpy at 0 K in eV per atom: 0.17

abc: 3.226 3.226 15.275
angles: 90.00 90.00 90.00
Space group I4mm (No. 107)
Unique sites:
Y 0.000 0.000 0.000 (multiplicity 2)
Zr 0.000 0.000 0.672 (multiplicity 2)
Pa 0.000 0.000 0.325 (multiplicity 2)

Crystalline Ti12ReSb6 at its relaxed geometry, computed with PBE.

Total moment in μB per cell: 0.00
DOS at the Fermi energy in states/eV/atom: 0.948
Total energy in Ha/atom: -0.2648

abc: 12.8846 12.8846 7.3402
angles: 90.00 90.00 120.00
Space group R-3 (No. 148, hexagonal axes)
Unique sites:
Ti 0.0060 0.1307 0.1885 (multiplicity 18)
Ti 0.0709 0.5729 0.1672 (multiplicity 18)
Re 0.0000 0.0000 0.5000 (multiplicity 3)
Sb 0.0177 0.2597 0.8541 (multiplicity 18)

Crystalline PmNdSc2S4 at its relaxed geometry, computed with PBE.

Total moment in μB per cell: 0.00
DOS at the Fermi energy in states/eV/atom: 0.515
Total energy in Ha/atom: -0.2487

abc: 6.637 3.810 6.858
angles: 90.00 108.70 90.00
Space group P2/m (No. 10)
Unique sites:
Pm 0.000 0.000 0.000 (multiplicity 1)
Nd 0.500 0.500 0.000 (multiplicity 1)
Sc 0.000 0.500 0.500 (multiplicity 1)
Sc 0.500 0.000 0.500 (multiplicity 1)
S 0.238 0.000 0.720 (multiplicity 2)
S 0.259 0.500 0.279 (multiplicity 2)

Crystalline Y5Mg at its relaxed geometry, computed with PBE.

Total moment in μB per cell: 0.00
DOS at the Fermi energy in states/eV/atom: 1.452
Total energy in Ha/atom: -0.2074
Formation enthalpy at 0 K in eV per atom: 0.01

abc: 11.941 5.451 6.816
angles: 90.00 123.23 90.00
Space group C2/m (No. 12)
Unique sites:
Y 0.000 0.000 0.000 (multiplicity 2)
Y 0.147 0.500 0.799 (multiplicity 4)
Y 0.194 0.500 0.336 (multiplicity 4)
Mg 0.000 0.000 0.500 (multiplicity 2)

Crystalline BiAsCBr2 at its relaxed geometry, computed with PBE.

Total moment in μB per cell: 0.00
DOS at the Fermi energy in states/eV/atom: 0.738
Total energy in Ha/atom: -0.1180

abc: 4.722 4.722 4.724
angles: 90.00 90.00 90.00
Space group P4/mmm (No. 123)
Unique sites:
Bi 0.000 0.000 0.000 (multiplicity 1)
As 0.500 0.500 0.000 (multiplicity 1)
C 0.500 0.500 0.500 (multiplicity 1)
Br 0.000 0.500 0.500 (multiplicity 2)

Crystalline Zr3Ga3N at its relaxed geometry, computed with PBE.

Total moment in μB per cell: 0.00
DOS at the Fermi energy in states/eV/atom: 0.683
Total energy in Ha/atom: -0.2565

abc: 12.288 12.288 12.288
angles: 90.00 90.00 90.00
Space group Fd-3m (No. 227, origin choice 2)
Unique sites:
Zr 0.061 0.375 0.375 (multiplicity 48)
Ga 0.000 0.000 0.500 (multiplicity 16)
Ga 0.037 0.037 0.713 (multiplicity 32)
N 0.000 0.000 0.000 (multiplicity 16)

Crystalline Fe3GeAs at its relaxed geometry, computed with PBE.

Total moment in μB per cell: 0.16
DOS at the Fermi energy in states/eV/atom: 2.788
Total energy in Ha/atom: -0.2178
Formation enthalpy at 0 K in eV per atom: 1.00

abc: 4.279 4.279 4.279
angles: 90.00 90.00 90.00
Space group Pm-3m (No. 221)
Unique sites:
Fe 0.000 0.000 0.500 (multiplicity 3)
Ge 0.500 0.500 0.500 (multiplicity 1)
As 0.000 0.000 0.000 (multiplicity 1)

Crystalline DySi2Ir4 at its relaxed geometry, computed with PBE.

Total moment in μB per cell: 0.00
DOS at the Fermi energy in states/eV/atom: 0.396
Total energy in Ha/atom: -0.2939

abc: 16.643 3.999 6.551
angles: 90.00 90.00 90.00
Space group Pnma (No. 62)
Unique sites:
Dy 0.136 0.250 0.023 (multiplicity 4)
Si 0.042 0.750 0.264 (multiplicity 4)
Si 0.228 0.250 0.531 (multiplicity 4)
Ir 0.028 0.750 0.836 (multiplicity 4)
Ir 0.084 0.250 0.533 (multiplicity 4)
Ir 0.186 0.750 0.325 (multiplicity 4)
Ir 0.191 0.750 0.734 (multiplicity 4)

Crystalline PaBeNi6B at its relaxed geometry, computed with PBE.

Total moment in μB per cell: 0.00
DOS at the Fermi energy in states/eV/atom: 0.463
Total energy in Ha/atom: -0.2267
Formation enthalpy at 0 K in eV per atom: -0.10

abc: 5.667 7.878 10.143
angles: 90.00 90.00 90.00
Space group Imma (No. 74)
Unique sites:
Pa 0.000 0.250 0.158 (multiplicity 4)
Be 0.250 0.250 0.750 (multiplicity 4)
Ni 0.000 0.250 0.458 (multiplicity 4)
Ni 0.000 0.250 0.912 (multiplicity 4)
Ni 0.244 0.014 0.629 (multiplicity 16)
B 0.000 0.000 0.500 (multiplicity 4)

Crystalline Nd2Dy2Y at its relaxed geometry, computed with PBE.

Total moment in μB per cell: 0.00
DOS at the Fermi energy in states/eV/atom: 1.778
Total energy in Ha/atom: -0.1846
Formation enthalpy at 0 K in eV per atom: 0.02

abc: 15.925 6.355 6.832
angles: 90.00 103.95 90.00
Space group C2/c (No. 15)
Unique sites:
Nd 0.200 0.087 0.154 (multiplicity 8)
Dy 0.098 0.418 0.451 (multiplicity 8)
Y 0.000 0.084 0.750 (multiplicity 4)

Crystalline MnTlCd2Ni at its relaxed geometry, computed with PBE.

Total moment in μB per cell: 4.30
DOS at the Fermi energy in states/eV/atom: 1.259
Total energy in Ha/atom: -0.0933
Formation enthalpy at 0 K in eV per atom: 1.29

abc: 5.370 5.370 5.178
angles: 90.00 90.00 90.00
Space group P4/mmm (No. 123)
Unique sites:
Mn 0.000 0.000 0.000 (multiplicity 1)
Tl 0.000 0.000 0.500 (multiplicity 1)
Cd 0.000 0.500 0.500 (multiplicity 2)
Ni 0.500 0.500 0.000 (multiplicity 1)

Crystalline Ho2Zn2Cu15 at its relaxed geometry, computed with PBE.

Total moment in μB per cell: 0.00
DOS at the Fermi energy in states/eV/atom: 0.407
Total energy in Ha/atom: -0.1469
Formation enthalpy at 0 K in eV per atom: -0.15

abc: 8.5698 8.5698 12.5960
angles: 90.00 90.00 120.00
Space group R-3m (No. 166, hexagonal axes)
Unique sites:
Ho 0.0000 0.0000 0.1524 (multiplicity 6)
Zn 0.0000 0.0000 0.3980 (multiplicity 6)
Cu 0.0000 0.3003 0.5000 (multiplicity 18)
Cu 0.0000 0.5000 0.0000 (multiplicity 9)
Cu 0.0022 0.5011 0.6535 (multiplicity 18)

Crystalline Ac3YSi2N6 at its relaxed geometry, computed with PBE.

Total moment in μB per cell: 1.53
DOS at the Fermi energy in states/eV/atom: 0.231
Total energy in Ha/atom: -0.2849

abc: 5.9585 5.9585 6.8414
angles: 90.00 90.00 120.00
Space group P-3m1 (No. 164)
Unique sites:
Ac 0.0000 0.0000 0.0000 (multiplicity 1)
Ac 0.3333 0.6667 0.6590 (multiplicity 2)
Y 0.0000 0.0000 0.5000 (multiplicity 1)
Si 0.3333 0.6667 0.2092 (multiplicity 2)
N 0.1760 0.3519 0.2900 (multiplicity 6)

Crystalline SmReTc at its relaxed geometry, computed with PBE.

Total moment in μB per cell: 0.00
DOS at the Fermi energy in states/eV/atom: 0.790
Total energy in Ha/atom: -0.3232
Formation enthalpy at 0 K in eV per atom: 0.38

abc: 5.300 8.819 20.533
angles: 90.00 90.00 90.00
Space group Fddd (No. 70, origin choice 2)
Unique sites:
Sm 0.125 0.299 0.125 (multiplicity 16)
Re 0.125 0.125 0.000 (multiplicity 16)
Tc 0.125 0.125 0.535 (multiplicity 16)

Crystalline PmNd2Sn3Rh4 at its relaxed geometry, computed with PBE.

Total moment in μB per cell: 0.00
DOS at the Fermi energy in states/eV/atom: 0.744
Total energy in Ha/atom: -0.2309
Formation enthalpy at 0 K in eV per atom: -0.71

abc: 4.443 4.443 11.510
angles: 90.00 90.00 90.00
Space group P-4m2 (No. 115)
Unique sites:
Pm 0.000 0.000 0.000 (multiplicity 1)
Nd 0.000 0.500 0.728 (multiplicity 2)
Sn 0.000 0.500 0.375 (multiplicity 2)
Sn 0.500 0.500 0.000 (multiplicity 1)
Rh 0.000 0.000 0.500 (multiplicity 1)
Rh 0.000 0.500 0.150 (multiplicity 2)
Rh 0.500 0.500 0.500 (multiplicity 1)

Crystalline Nd12Pt6Au at its relaxed geometry, computed with PBE.

Total moment in μB per cell: 0.00
DOS at the Fermi energy in states/eV/atom: 1.128
Total energy in Ha/atom: -0.2142
Formation enthalpy at 0 K in eV per atom: -0.74

abc: 13.1723 13.1723 11.9093
angles: 90.00 90.00 120.00
Space group R-3 (No. 148, hexagonal axes)
Unique sites:
Nd 0.0300 0.8138 0.3930 (multiplicity 18)
Nd 0.0398 0.8247 0.8874 (multiplicity 18)
Pt 0.0451 0.7840 0.6475 (multiplicity 18)
Au 0.0000 0.0000 0.0000 (multiplicity 3)